Density functional theory data (PBE+U) for a relaxed LiSm2CrO5 crystal.

Cell lengths 6.6451, 6.6451, 5.7353 Å; angles 90.00, 90.00, 90.00 degrees
Atoms (fractional coordinates):
Li: 0.0000 0.0000 0.0000
Li: 0.5000 0.5000 0.0000
Sm: 0.1776 0.3224 0.5000
Sm: 0.3224 0.8224 0.5000
Sm: 0.6776 0.1776 0.5000
Sm: 0.8224 0.6776 0.5000
Cr: 0.0000 0.5000 0.0000
Cr: 0.5000 0.0000 0.0000
O: 0.0000 0.0000 0.5000
O: 0.1369 0.6369 0.2423
O: 0.1369 0.6369 0.7577
O: 0.3631 0.1369 0.2423
O: 0.3631 0.1369 0.7577
O: 0.5000 0.5000 0.5000
O: 0.6369 0.8631 0.2423
O: 0.6369 0.8631 0.7577
O: 0.8631 0.3631 0.2423
O: 0.8631 0.3631 0.7577

Computed properties:
calculated density = 5.77 g/cm3
total moment = 3.0 μB/f.u.
electronic total energy = -7.31 eV/atom
volume = 253.3 Å³ per cell